(1)
Below is crystalline SrLiCu at its relaxed geometry, with properties calculated at the PBE level.

Unit cell a=7.663 b=7.663 c=4.305 alpha=90.00 beta=90.00 gamma=120.00
Sites, in units of the cell vectors:
Sr: 0.000 0.605 0.000
Sr: 0.395 0.395 0.000
Sr: 0.605 0.000 0.000
Li: 0.000 0.000 0.000
Li: 0.333 0.667 0.500
Li: 0.667 0.333 0.500
Cu: 0.000 0.236 0.500
Cu: 0.236 0.000 0.500
Cu: 0.764 0.764 0.500

Calculated values
The value obtained for the energy above the most stable polymorph in this dataset is 0.0 kJ/mol of atoms. The value obtained for the calculated volume is 218.94 Å³ per cell.

(2)
Below is crystalline SrLi2Cu2 at its relaxed geometry, with properties calculated at the PBE level.

Unit cell a=6.330 b=6.330 c=6.330 alpha=141.57 beta=141.57 gamma=55.48
Sites, in units of the cell vectors:
Sr: 0.000 0.000 0.000
Li: 0.250 0.750 0.500
Li: 0.750 0.250 0.500
Cu: 0.392 0.392 0.000
Cu: 0.608 0.608 0.000

Calculated values
As for the final energy: -2.602 eV/atom. The value obtained for the calculated volume is 97.28 Å³ per cell.

> The highest calculated volume belongs to which entry?

SrLiCu

> Among the records above, which one has the lowest calculated volume?

SrLi2Cu2

> Number 1 is which compound?

SrLiCu

> The highest calculated volume belongs to which entry?

SrLiCu